No. 1
Below is BeAlTc after structural relaxation, with properties calculated at the GGA-PBE level.

POSCAR file:
```
BeAlTc
1.0
3.8330 0.0000 0.0000
1.9165 3.3195 0.0000
1.9165 1.1065 3.1297
Al Tc Be
1 1 1
Direct
0.5000 0.5000 0.5000
0.0000 0.0000 0.0000
0.7500 0.7500 0.7500
```

Summary:
DOS(E_F) = 0.719 states/eV per cell
Crystal system = cubic
Energy of formation = 0.04 eV/atom
Offset from the most stable computed form = 0.261 eV/atom
V = 13.27 Å³/atom
Mass density = 5.59 g cm⁻³
Spin magnetization = 0.00 μB per atom

No. 2
Below is FeBi2HBr after structural relaxation, with properties calculated at the GGA-PBE level.

POSCAR file:
```
FeBi2HBr
1.0
-4.1253 3.9271 -1.6824
-3.1634 -2.7824 1.2621
0.0626 2.3940 5.4347
H Fe Bi Br
1 1 2 1
Direct
0.5000 0.5000 0.5000
0.0000 0.5000 0.0000
0.5000 0.0000 0.0000
0.0000 0.0000 0.5000
0.0000 0.0000 0.0000
```

Summary:
DOS(E_F) = 4.033 states/eV per cell
Total DFT energy (no corrections) = -2.84 eV/atom
Crystal system = tetragonal
V = 31.02 Å³/atom
Mass density = 5.94 g cm⁻³
Spin magnetization = 0.69 μB per atom

No. 3
Below is GaOF after structural relaxation, with properties calculated at the GGA-PBE level.

POSCAR file:
```
GaOF
1.0
-0.4453 -2.9210 0.6804
-0.6701 -0.7592 -3.6980
6.1474 -1.1475 -0.9033
Ga F O
2 2 2
Direct
0.2500 0.7509 0.8567
0.7500 0.2491 0.1433
0.7500 0.7519 0.6601
0.2500 0.2481 0.3399
0.2500 0.2505 0.9218
0.7500 0.7495 0.0782
```

Summary:
DOS(E_F) = 0.000 states/eV per cell
Total DFT energy (no corrections) = -5.43 eV/atom
Crystal system = monoclinic
V = 12.24 Å³/atom
Mass density = 4.73 g cm⁻³
Spin magnetization = 0.00 μB per atom

No. 4
Below is CsCuMo2 after structural relaxation, with properties calculated at the GGA-PBE level.

POSCAR file:
```
CsCuMo2
1.0
-0.7178 0.0030 4.3477
1.4085 -4.1687 0.2354
9.8805 1.2275 3.8635
Cu Cs Mo
2 2 4
Direct
0.2500 0.7500 0.5000
0.5000 0.5000 0.0000
0.0000 0.0000 0.0000
0.7500 0.2500 0.5000
0.4712 0.1250 0.2500
0.3750 0.5288 0.7500
0.2788 0.6250 0.2500
0.8750 0.7212 0.7500
```

Summary:
DOS(E_F) = 10.560 states/eV per cell
Crystal system = tetragonal
Energy of formation = 1.66 eV/atom
Offset from the most stable computed form = 0.000 eV/atom
V = 24.79 Å³/atom
Mass density = 6.50 g cm⁻³
Spin magnetization = 0.00 μB per atom